# 1
# TlSb2Pd2

Crystalline TlSb2Pd2 at its relaxed geometry (PBE-GGA, Alexandria via LeMat-Bulk).

As for the uncorrected formation energy: -0.249 eV/atom. The value obtained for the distance to the lowest polymorph of the same formula is 5 meV per atom.

The space group is P-1 (No. 2) and the conventional cell measures 5.9213, 6.4763 and 7.2594 Å, with angles of 72.65, 86.97 and 70.00 degrees. The distinct sites, in fractional coordinates, are Tl at (0.2394, 0.1462, 0.2523), Sb at (0.1680, 0.1682, 0.7368), Sb at (0.3886, 0.4906, 0.7947), Pd at (0.1841, 0.7773, 0.0124) and Pd at (0.2446, 0.5146, 0.4314).

=====

# 2
# TlSbPd4

Crystalline TlSbPd4 at its relaxed geometry (PBE-GGA, Alexandria via LeMat-Bulk).

As for the uncorrected formation energy: -0.258 eV/atom. The value obtained for the distance to the lowest polymorph of the same formula is 4 meV per atom.

The space group is P2_1/m (No. 11) and the conventional cell measures 5.4158, 5.6619 and 7.4349 Å, with angles of 90.00, 106.97 and 90.00 degrees. The distinct sites, in fractional coordinates, are Tl at (0.2151, 0.2500, 0.0306), Sb at (0.3437, 0.2500, 0.6121), Pd at (0.0578, 0.5023, 0.3125), Pd at (0.3181, 0.7500, 0.0485) and Pd at (0.3862, 0.7500, 0.6412).

=====

# 3
# TlSbPd14

Crystalline TlSbPd14 at its relaxed geometry (PBE-GGA, Alexandria via LeMat-Bulk).

As for the uncorrected formation energy: -0.152 eV/atom.

The space group is P4/mmm (No. 123) and the conventional cell measures 5.7949, 5.7949 and 7.6611 Å, with angles of 90.00, 90.00 and 90.00 degrees. The distinct sites, in fractional coordinates, are Tl at (0.0000, 0.0000, 0.0000), Sb at (0.5000, 0.5000, 0.0000), Pd at (0.0000, 0.0000, 0.5000), Pd at (0.0000, 0.5000, 0.0000), Pd at (0.0000, 0.5000, 0.5000), Pd at (0.2530, 0.2530, 0.2524) and Pd at (0.5000, 0.5000, 0.5000).